! AcNdCoPd (PBE, relaxed); values from VASP
&SYSTEM
  ibrav = 0, nat = 4, ntyp = 4
/
ATOMIC_SPECIES
Ac 227.00 Ac.upf
Nd 144.24 Nd.upf
Co 58.93 Co.upf
Pd 106.42 Pd.upf
CELL_PARAMETERS angstrom
0.000 3.638 3.638
3.638 0.000 3.638
3.638 3.638 0.000
ATOMIC_POSITIONS angstrom
Ac 0.000 0.000 0.000
Nd 3.638 3.638 3.638
Co 5.457 5.457 5.457
Pd 1.819 1.819 1.819
! * DFT formation energy: -264 meV per atom
! * total moment: 0.35 μB/cell
! * total energy: -5.56 eV per atom

---

! La4MgAg (PBE, relaxed); values from VASP
&SYSTEM
  ibrav = 0, nat = 6, ntyp = 3
/
ATOMIC_SPECIES
La 138.91 La.upf
Mg 24.30 Mg.upf
Ag 107.87 Ag.upf
CELL_PARAMETERS angstrom
3.882 0.000 0.000
0.000 3.882 0.000
0.000 0.000 12.773
ATOMIC_POSITIONS angstrom
La 0.000 0.000 1.838
La 0.000 0.000 10.935
La 1.941 1.941 4.336
La 1.941 1.941 8.437
Mg 0.000 0.000 6.387
Ag 1.941 1.941 0.000
! * DFT formation energy: -106 meV per atom
! * total moment: 1.15 μB/cell
! * ΔE to the lowest computed polymorph: 0 kJ/mol of formula units
! * total energy: -4.13 eV per atom

---

! CsGeB2F8 (PBE, relaxed); values from VASP
&SYSTEM
  ibrav = 0, nat = 12, ntyp = 4
/
ATOMIC_SPECIES
Cs 132.91 Cs.upf
Ge 72.64 Ge.upf
B 10.81 B.upf
F 19.00 F.upf
CELL_PARAMETERS angstrom
2.507 1.448 9.692
-2.507 1.448 9.692
0.000 -2.895 9.692
ATOMIC_POSITIONS angstrom
Cs 0.000 0.000 0.000
Ge 0.000 0.000 14.538
B 0.000 0.000 7.258
B 0.000 0.000 21.818
F -1.748 -0.338 12.564
F -0.581 -1.682 16.512
F 0.000 0.000 8.694
F -1.166 1.345 16.512
F 1.166 -1.345 12.564
F 0.000 0.000 20.382
F 0.581 1.682 12.564
F 1.748 0.338 16.512
! * formation energy from raw total energies: -2.5405 eV per atom
! * total moment: 1.00 μB/cell
! * total energy: -5.36 eV per atom